[1]
# TiFePtRh | Alexandria | PBE | optimized geometry
# D(E_F) = 3.497 states/eV per cell
# density = 11.617 Mg/m³
# E above lowest polymorph = 0.0000 eV per atom
# total magnetization = 2.88 μB/cell
# E_tot = -32.137 eV for the cell shown
# volume = 14.4 Å³/atom
# space-group type = I-4m2 (119)
data_TiFePtRh
_cell_length_a 3.943
_cell_length_b 3.943
_cell_length_c 4.628
_cell_angle_alpha 115.22
_cell_angle_beta 115.22
_cell_angle_gamma 90.00
_space_group_name_H-M_alt 'P 1'
_space_group_IT_number 1
_space_group_name_Hall 'P 1'
loop_
_atom_site_label
_atom_site_fract_x
_atom_site_fract_y
_atom_site_fract_z
Ti1 0.750 0.250 0.500
Fe1 0.250 0.750 0.500
Pt1 0.000 0.000 0.000
Rh1 0.500 0.500 0.000

[2]
# NdZn2Cu | Alexandria | PBE | optimized geometry
# D(E_F) = 1.467 states/eV per cell
# density = 7.490 Mg/m³
# total magnetization = 0.00 μB/cell
# E_tot = -12.136 eV for the cell shown
# volume = 18.8 Å³/atom
# space-group type = Fm-3m (225)
data_NdZn2Cu
_cell_length_a 4.735
_cell_length_b 4.735
_cell_length_c 4.735
_cell_angle_alpha 60.00
_cell_angle_beta 60.00
_cell_angle_gamma 60.00
_space_group_name_H-M_alt 'P 1'
_space_group_IT_number 1
_space_group_name_Hall 'P 1'
loop_
_atom_site_label
_atom_site_fract_x
_atom_site_fract_y
_atom_site_fract_z
Zn1 0.250 0.250 0.250
Zn2 0.750 0.750 0.750
Nd1 0.000 0.000 0.000
Cu1 0.500 0.500 0.500

[3]
# Ca3MgNb | Alexandria | PBE | optimized geometry
# D(E_F) = 3.029 states/eV per cell
# density = 2.211 Mg/m³
# E above lowest polymorph = 0.0000 eV per atom
# total magnetization = 0.00 μB/cell
# E_tot = -13.418 eV for the cell shown
# volume = 35.7 Å³/atom
# space-group type = Pm-3m (221)
data_Ca3MgNb
_cell_length_a 5.629
_cell_length_b 5.629
_cell_length_c 5.629
_cell_angle_alpha 90.00
_cell_angle_beta 90.00
_cell_angle_gamma 90.00
_space_group_name_H-M_alt 'P 1'
_space_group_IT_number 1
_space_group_name_Hall 'P 1'
loop_
_atom_site_label
_atom_site_fract_x
_atom_site_fract_y
_atom_site_fract_z
Mg1 0.500 0.500 0.500
Nb1 0.000 0.000 0.000
Ca1 0.000 0.500 0.000
Ca2 0.000 0.000 0.500
Ca3 0.500 0.000 0.000

[4]
# PmBeAl2Os2 | Alexandria | PBE | optimized geometry
# D(E_F) = 2.016 states/eV per cell
# density = 9.492 Mg/m³
# total magnetization = 0.00 μB/cell
# E_tot = -40.555 eV for the cell shown
# volume = 17.2 Å³/atom
# space-group type = P4/mmm (123)
data_PmBeAl2Os2
_cell_length_a 4.337
_cell_length_b 4.337
_cell_length_c 5.473
_cell_angle_alpha 90.00
_cell_angle_beta 90.00
_cell_angle_gamma 90.00
_space_group_name_H-M_alt 'P 1'
_space_group_IT_number 1
_space_group_name_Hall 'P 1'
loop_
_atom_site_label
_atom_site_fract_x
_atom_site_fract_y
_atom_site_fract_z
Pm1 0.000 0.000 0.500
Be1 0.000 0.000 0.000
Al1 0.500 0.500 0.748
Al2 0.500 0.500 0.252
Os1 0.500 0.000 0.000
Os2 0.000 0.500 0.000

[5]
# LaPm4Al2 | Alexandria | PBE | optimized geometry
# D(E_F) = 9.517 states/eV per cell
# density = 5.951 Mg/m³
# E above lowest polymorph = 0.2786 eV per atom
# total magnetization = 0.00 μB/cell
# E_tot = -30.124 eV for the cell shown
# volume = 30.8 Å³/atom
# space-group type = I4/mmm (139)
data_LaPm4Al2
_cell_length_a 5.826
_cell_length_b 5.826
_cell_length_c 7.573
_cell_angle_alpha 112.62
_cell_angle_beta 112.62
_cell_angle_gamma 90.00
_space_group_name_H-M_alt 'P 1'
_space_group_IT_number 1
_space_group_name_Hall 'P 1'
loop_
_atom_site_label
_atom_site_fract_x
_atom_site_fract_y
_atom_site_fract_z
La1 0.000 0.000 0.000
Pm1 0.750 0.250 0.500
Pm2 0.250 0.750 0.500
Pm3 0.500 0.000 0.000
Pm4 0.000 0.500 0.000
Al1 0.612 0.612 0.225
Al2 0.388 0.388 0.775

[6]
# MgZn6Ga6 | Alexandria | PBE | optimized geometry
# D(E_F) = 4.549 states/eV per cell
# density = 6.141 Mg/m³
# E above lowest polymorph = 0.0000 eV per atom
# total magnetization = 0.00 μB/cell
# E_tot = -27.208 eV for the cell shown
# volume = 17.4 Å³/atom
# space-group type = P6/mmm (191)
data_MgZn6Ga6
_cell_length_a 5.289
_cell_length_b 5.289
_cell_length_c 9.322
_cell_angle_alpha 90.00
_cell_angle_beta 90.00
_cell_angle_gamma 120.01
_space_group_name_H-M_alt 'P 1'
_space_group_IT_number 1
_space_group_name_Hall 'P 1'
loop_
_atom_site_label
_atom_site_fract_x
_atom_site_fract_y
_atom_site_fract_z
Mg1 0.000 0.000 0.000
Zn1 0.000 0.500 0.757
Zn2 0.500 0.000 0.757
Zn3 0.500 0.500 0.758
Zn4 0.500 0.000 0.243
Zn5 0.000 0.500 0.243
Zn6 0.500 0.500 0.242
Ga1 0.000 0.000 0.644
Ga2 0.000 0.000 0.356
Ga3 0.333 0.667 0.000
Ga4 0.667 0.333 0.000
Ga5 0.333 0.667 0.500
Ga6 0.667 0.333 0.500

[7]
# GdThHg | Alexandria | PBE | optimized geometry
# D(E_F) = 2.966 states/eV per cell
# density = 11.240 Mg/m³
# E above lowest polymorph = 0.1786 eV per atom
# total magnetization = 7.68 μB/cell
# E_tot = -21.888 eV for the cell shown
# volume = 29.0 Å³/atom
# space-group type = P3m1 (156)
data_GdThHg
_cell_length_a 3.581
_cell_length_b 5.301
_cell_length_c 5.301
_cell_angle_alpha 120.00
_cell_angle_beta 90.00
_cell_angle_gamma 90.00
_space_group_name_H-M_alt 'P 1'
_space_group_IT_number 1
_space_group_name_Hall 'P 1'
loop_
_atom_site_label
_atom_site_fract_x
_atom_site_fract_y
_atom_site_fract_z
Gd1 0.583 0.667 0.333
Hg1 0.387 0.333 0.667
Th1 0.030 0.000 0.000

[8]
# GaAg6Au3 | Alexandria | PBE | optimized geometry
# D(E_F) = 6.347 states/eV per cell
# density = 12.205 Mg/m³
# E above lowest polymorph = 0.0000 eV per atom
# total magnetization = 0.00 μB/cell
# E_tot = -60.540 eV for the cell shown
# volume = 17.8 Å³/atom
# space-group type = P2_1/m (11)
data_GaAg6Au3
_cell_length_a 4.189
_cell_length_b 9.289
_cell_length_c 9.145
_cell_angle_alpha 89.28
_cell_angle_beta 90.00
_cell_angle_gamma 90.00
_space_group_name_H-M_alt 'P 1'
_space_group_IT_number 1
_space_group_name_Hall 'P 1'
loop_
_atom_site_label
_atom_site_fract_x
_atom_site_fract_y
_atom_site_fract_z
Ga1 0.250 0.947 0.605
Ga2 0.750 0.053 0.395
Ag1 0.250 0.449 0.100
Ag2 0.750 0.551 0.900
Ag3 0.250 0.150 0.198
Ag4 0.750 0.850 0.802
Ag5 0.250 0.654 0.699
Ag6 0.750 0.346 0.301
Ag7 0.250 0.243 0.500
Ag8 0.750 0.757 0.500
Ag9 0.250 0.855 0.308
Ag10 0.750 0.145 0.692
Ag11 0.250 0.049 0.896
Ag12 0.750 0.951 0.104
Au1 0.250 0.548 0.401
Au2 0.750 0.452 0.599
Au3 0.250 0.352 0.797
Au4 0.750 0.648 0.203
Au5 0.250 0.752 0.005
Au6 0.750 0.248 0.995

Ordered ΔH_f (0 K) results: -0.597, -0.181, 0.850, -0.356, 0.184, 0.015, -0.028, -0.030; unit eV/atom.